Entry 1:
Pm4Nd3Hg4: relaxed, PBE-GGA.

abc: 9.710 9.710 9.710
angles: 151.28 128.28 60.24
Element x y z (fractional)
Pm1 0.033 0.831 0.202
Pm2 0.371 0.169 0.202
Pm3 0.629 0.831 0.798
Pm4 0.967 0.169 0.798
Nd1 0.000 0.500 0.500
Nd2 0.389 0.389 0.000
Nd3 0.611 0.611 0.000
Hg1 0.227 0.727 0.500
Hg2 0.317 0.000 0.317
Hg3 0.683 0.000 0.683
Hg4 0.773 0.273 0.500

Summary:
Crystal system   orthorhombic

---

Entry 2:
SmYInPb: relaxed, PBE-GGA.

abc: 5.022 5.022 8.918
angles: 90.00 90.00 90.00
Element x y z (fractional)
Sm1 0.000 0.000 0.000
Sm2 0.500 0.500 0.500
Y1 0.000 0.000 0.500
Y2 0.500 0.500 0.000
In1 0.000 0.500 0.250
In2 0.500 0.000 0.750
Pb1 0.000 0.500 0.750
Pb2 0.500 0.000 0.250

Summary:
Crystal system   tetragonal
Excess energy over the best structure of this formula in the dataset   0.000 eV per formula unit

---

Entry 3:
ZrRe2Ru: relaxed, PBE-GGA.

abc: 5.369 8.453 2.869
angles: 90.00 90.00 90.00
Element x y z (fractional)
Zr1 0.000 0.000 0.000
Zr2 0.500 0.500 0.000
Re1 0.250 0.250 0.500
Re2 0.250 0.750 0.500
Re3 0.750 0.250 0.500
Re4 0.750 0.750 0.500
Ru1 0.000 0.500 0.000
Ru2 0.500 0.000 0.000

Summary:
Crystal system   orthorhombic
Excess energy over the best structure of this formula in the dataset   0.871 eV per formula unit

---

Entry 4:
Si4Ag3: relaxed, PBE-GGA.

abc: 5.524 5.524 4.777
angles: 90.00 90.00 120.00
Element x y z (fractional)
Si1 0.000 0.000 0.250
Si2 0.000 0.000 0.750
Si3 0.333 0.667 0.000
Si4 0.667 0.333 0.000
Ag1 0.000 0.500 0.500
Ag2 0.500 0.000 0.500
Ag3 0.500 0.500 0.500

Summary:
Formation energy (no corrections)   0.57 eV/atom
Crystal system   hexagonal

---

Entry 5:
Th11In9Ni4: relaxed, PBE-GGA.

abc: 13.429 13.429 3.763
angles: 90.00 90.00 112.77
Element x y z (fractional)
Th1 0.000 0.000 0.000
Th2 0.077 0.417 0.000
Th3 0.154 0.846 0.000
Th4 0.314 0.314 0.000
Th5 0.374 0.626 0.000
Th6 0.417 0.077 0.000
Th7 0.583 0.923 0.000
Th8 0.626 0.374 0.000
Th9 0.686 0.686 0.000
Th10 0.846 0.154 0.000
Th11 0.923 0.583 0.000
In1 0.080 0.220 0.500
In2 0.158 0.637 0.500
In3 0.220 0.080 0.500
In4 0.363 0.842 0.500
In5 0.500 0.500 0.500
In6 0.637 0.158 0.500
In7 0.780 0.920 0.500
In8 0.842 0.363 0.500
In9 0.920 0.780 0.500
Ni1 0.251 0.450 0.500
Ni2 0.450 0.251 0.500
Ni3 0.550 0.749 0.500
Ni4 0.749 0.550 0.500

Summary:
Crystal system   orthorhombic

---

Entry 6:
YHoRhI: relaxed, PBE-GGA.

abc: 4.075 4.075 23.745
angles: 90.00 90.00 120.00
Element x y z (fractional)
Y1 0.000 0.000 0.000
Y2 0.333 0.667 0.667
Y3 0.667 0.333 0.333
Ho1 0.000 0.000 0.213
Ho2 0.333 0.667 0.880
Ho3 0.667 0.333 0.546
Rh1 0.000 0.000 0.605
Rh2 0.333 0.667 0.272
Rh3 0.667 0.333 0.939
I1 0.000 0.000 0.774
I2 0.333 0.667 0.441
I3 0.667 0.333 0.107

Summary:
Formation energy (no corrections)   -0.92 eV/atom
Crystal system   trigonal

---

| no. | final energy (eV per atom) |
| --- | --- |
| 1 | -3.38 |
| 2 | -4.89 |
| 3 | -10.49 |
| 4 | -3.75 |
| 5 | -5.75 |
| 6 | -5.91 |